A relaxed structure of MnCF2. Source: Alexandria, functional PBE+U.

Calculated values
Space group ... R-3m, No. 166
Spin magnetization ... 4.5 μB per formula unit
Calculated volume ... 53 Å³/f.u.
Raw total energy ... -4.542 eV per atom
Excess energy over the best structure of this formula in the dataset ... 0.458 eV per atom

Cell: 7.6522 7.6522 7.6522 Å, 21.47 21.47 21.47°
Atoms (fractional coordinates):
C 0.5000 0.5000 0.5000
Mn 0.0000 0.0000 0.0000
F 0.9172 0.9172 0.9172
F 0.0828 0.0828 0.0828